A relaxed structure of UPdPbS4, computed with PBE.

POSCAR file:
```
UPdPbS4
1.0
-3.289 5.802 0.680
-2.852 -1.057 -4.770
-4.327 -6.141 3.948
U Pd Pb S
2 2 2 8
Direct
0.743 0.750 0.446
0.257 0.250 0.554
0.227 0.750 0.320
0.773 0.250 0.680
0.715 0.750 0.946
0.285 0.250 0.054
0.047 0.524 0.714
0.953 0.024 0.286
0.953 0.476 0.286
0.047 0.976 0.714
0.443 0.750 0.138
0.557 0.250 0.862
0.453 0.750 0.603
0.547 0.250 0.397
```

total magnetic moment	2.41	μB per cell

=====

A relaxed structure of UPd2Pb2S4, computed with PBE.

POSCAR file:
```
UPd2Pb2S4
1.0
-2.986 -1.565 -2.152
-3.477 -2.010 6.285
-0.322 7.558 -1.334
U Pd Pb S
1 2 2 4
Direct
0.000 0.000 0.000
0.670 0.936 0.340
0.330 0.064 0.660
0.149 0.629 0.298
0.851 0.371 0.702
0.197 0.200 0.393
0.803 0.800 0.607
0.496 0.750 0.992
0.504 0.250 0.008
```

total magnetic moment	1.98	μB per cell

=====

A relaxed structure of UPdPbS3, computed with PBE.

POSCAR file:
```
UPdPbS3
1.0
3.967 0.000 0.000
0.000 8.422 1.081
0.000 -3.011 8.234
U Pd Pb S
2 2 2 6
Direct
0.250 0.671 0.156
0.750 0.329 0.844
0.250 0.043 0.626
0.750 0.957 0.374
0.250 0.180 0.285
0.750 0.820 0.715
0.750 0.863 0.099
0.250 0.137 0.901
0.250 0.764 0.464
0.750 0.236 0.536
0.750 0.452 0.160
0.250 0.548 0.840
```

total magnetic moment	4.00	μB per cell

=====

A relaxed structure of U3Pd4PbS12, computed with PBE.

POSCAR file:
```
U3Pd4PbS12
1.0
8.385 -0.129 -0.179
-2.146 8.106 -0.179
-2.146 -2.743 7.630
U Pd Pb S
3 4 1 12
Direct
0.566 0.434 0.000
0.434 0.000 0.566
0.000 0.566 0.434
0.911 0.089 0.500
0.089 0.500 0.911
0.500 0.911 0.089
0.500 0.500 0.500
0.000 0.000 0.000
0.500 0.332 0.668
0.912 0.500 0.088
0.088 0.912 0.500
0.500 0.088 0.912
0.325 0.979 0.245
0.245 0.325 0.979
0.979 0.245 0.325
0.675 0.755 0.021
0.021 0.675 0.755
0.755 0.021 0.675
0.668 0.500 0.332
0.332 0.668 0.500
```

total magnetic moment	0.00	μB per cell

=====

A relaxed structure of YPdPb2S, computed with PBE.

POSCAR file:
```
YPdPb2S
1.0
-3.311 3.845 1.004
0.244 -1.209 5.434
3.967 3.273 0.550
Pb Y S Pd
2 1 1 1
Direct
0.000 0.000 0.500
0.500 0.000 0.000
0.000 0.500 0.000
0.500 0.500 0.500
0.000 0.000 0.000
```

total magnetic moment	0.00	μB per cell

=====

A relaxed structure of ZrPdPbS3, computed with PBE.

POSCAR file:
```
ZrPdPbS3
1.0
3.763 0.000 0.000
0.000 7.933 -0.178
0.000 -2.296 8.801
Zr Pd Pb S
2 2 2 6
Direct
0.250 0.686 0.162
0.750 0.314 0.838
0.250 0.054 0.624
0.750 0.946 0.376
0.250 0.209 0.299
0.750 0.791 0.701
0.750 0.882 0.106
0.250 0.118 0.894
0.250 0.737 0.451
0.750 0.263 0.549
0.750 0.448 0.145
0.250 0.552 0.855
```

total magnetic moment	0.00	μB per cell

=====

A relaxed structure of Sb2PdPb, computed with PBE.

POSCAR file:
```
Sb2PdPb
1.0
-1.433 -2.572 1.486
1.606 -2.059 -2.015
6.984 -0.424 5.999
Pb Sb Pd
1 2 1
Direct
0.500 0.500 0.500
0.000 0.000 0.807
0.000 0.000 0.193
0.500 0.500 0.000
```

total magnetic moment	0.00	μB per cell

=====

A relaxed structure of Sb2PdPb, computed with PBE.

POSCAR file:
```
Sb2PdPb
1.0
-4.570 2.963 3.256
-3.851 -4.965 -0.886
-1.982 -3.730 6.795
Pb Sb Pd
2 4 2
Direct
0.000 0.000 0.000
0.750 0.250 0.500
0.567 0.125 0.250
0.183 0.625 0.250
0.375 0.433 0.750
0.875 0.817 0.750
0.500 0.500 0.000
0.250 0.750 0.500
```

total magnetic moment	0.00	μB per cell

=====

A relaxed structure of SbPd2Pb8, computed with PBE.

POSCAR file:
```
SbPd2Pb8
1.0
5.502 0.406 -0.941
-2.010 7.002 -2.854
0.323 0.122 7.816
Sb Pd Pb
1 2 8
Direct
0.000 0.997 0.997
0.500 0.679 0.315
0.500 0.315 0.679
0.388 0.927 0.667
0.388 0.667 0.927
0.799 0.616 0.616
0.000 0.248 0.745
0.000 0.745 0.248
0.201 0.378 0.378
0.612 0.327 0.067
0.612 0.067 0.327
```

total magnetic moment	0.00	μB per cell

=====

A relaxed structure of SbPd2Pb, computed with PBE.

POSCAR file:
```
SbPd2Pb
1.0
-4.425 -1.476 2.252
0.866 -5.445 -1.867
5.590 -2.616 9.268
Sb Pd Pb
4 8 4
Direct
0.250 0.562 0.604
0.750 0.438 0.396
0.250 0.938 0.896
0.750 0.062 0.104
0.750 0.088 0.851
0.250 0.912 0.149
0.750 0.412 0.649
0.250 0.588 0.351
0.750 0.589 0.160
0.250 0.411 0.840
0.750 0.911 0.340
0.250 0.089 0.660
0.250 0.076 0.398
0.750 0.924 0.602
0.250 0.424 0.102
0.750 0.576 0.898
```

total magnetic moment	0.00	μB per cell

=====

A relaxed structure of Sb2PdPb, computed with PBE.

POSCAR file:
```
Sb2PdPb
1.0
3.441 0.000 0.000
1.720 2.980 0.000
1.720 0.993 10.386
Pb Sb Pd
1 2 1
Direct
0.000 0.000 0.000
0.105 0.105 0.686
0.895 0.895 0.314
0.500 0.500 0.500
```

total magnetic moment	0.00	μB per cell

=====

A relaxed structure of SbPd3Pb3, computed with PBE.

POSCAR file:
```
SbPd3Pb3
1.0
-3.288 -5.124 4.302
4.876 -4.014 3.960
0.054 1.823 7.228
Sb Pd Pb
2 6 6
Direct
0.341 0.341 0.341
0.659 0.659 0.659
0.545 0.319 0.951
0.319 0.951 0.545
0.951 0.545 0.319
0.049 0.455 0.681
0.681 0.049 0.455
0.455 0.681 0.049
0.840 0.355 0.119
0.119 0.840 0.355
0.355 0.119 0.840
0.645 0.881 0.160
0.881 0.160 0.645
0.160 0.645 0.881
```

total magnetic moment	0.00	μB per cell

=====

Calculated energy relative to the elements, uncorrected in order - -0.743; -0.689; -0.868; -0.594; -0.078; -0.949; -0.127; -0.014; -0.072; -0.291; -0.095; -0.216 eV/atom